[1]
The following is a PBE-GGA calculation of Sr2MoPtW after structural relaxation, from the Alexandria database.

The structure in extended XYZ format:
```
5
Lattice="5.762 0.000 0.000 0.000 4.778 0.000 0.000 0.000 5.762" Properties=species:S:1:pos:R:3 pbc="T T T"
Sr 0.000 0.000 2.881
Sr 2.881 0.000 0.000
Mo 2.881 2.389 2.881
W 0.000 0.000 0.000
Pt 0.000 2.389 0.000
```

Output
**Volume**: 159 Å³ per cell
**VASP energy**: -24.07 eV/f.u.

[2]
The following is a PBE-GGA calculation of Sr2YMoPt after structural relaxation, from the Alexandria database.

The structure in extended XYZ format:
```
5
Lattice="5.524 0.000 0.000 0.000 5.183 0.000 0.000 0.000 5.524" Properties=species:S:1:pos:R:3 pbc="T T T"
Y 0.000 2.591 0.000
Sr 0.000 0.000 2.762
Sr 2.762 0.000 0.000
Mo 0.000 0.000 0.000
Pt 2.762 2.591 2.762
```

Output
**Volume**: 158 Å³ per cell
**VASP energy**: -22.85 eV/f.u.

[3]
The following is a PBE-GGA calculation of SrZr2MoPt after structural relaxation, from the Alexandria database.

The structure in extended XYZ format:
```
5
Lattice="-0.130 -4.814 1.344 2.537 0.968 3.713 -4.169 0.847 2.628" Properties=species:S:1:pos:R:3 pbc="T T T"
Sr 0.000 0.000 0.000
Mo 1.269 0.484 1.857
Zr -2.084 0.423 1.314
Zr -0.065 -2.407 0.672
Pt -0.881 -1.500 3.843
```

Output
**Volume**: 115 Å³ per cell
**VASP energy**: -24.87 eV/f.u.

[4]
The following is a PBE-GGA calculation of TaMo2Pt after structural relaxation, from the Alexandria database.

The structure in extended XYZ format:
```
4
Lattice="-4.111 -1.039 -0.090 0.408 -1.789 2.042 -0.835 2.865 5.096" Properties=species:S:1:pos:R:3 pbc="T T T"
Mo -0.002 0.001 0.087
Mo -2.175 -0.179 1.510
Pt -0.226 0.586 3.577
Ta -2.348 0.166 5.444
```

Output
**Excess energy over the best structure of this formula in the dataset**: 0.21 eV/f.u.
**Volume**: 65 Å³ per cell

[5]
The following is a PBE-GGA calculation of TaMo2Pt after structural relaxation, from the Alexandria database.

The structure in extended XYZ format:
```
4
Lattice="2.739 0.000 0.000 0.000 4.104 0.000 0.000 0.000 5.824" Properties=species:S:1:pos:R:3 pbc="T T T"
Mo 0.000 0.000 0.049
Mo 1.369 2.052 1.442
Pt 0.000 0.000 2.917
Ta 1.369 2.052 4.328
```

Output
**Excess energy over the best structure of this formula in the dataset**: 0.43 eV/f.u.
**Volume**: 65 Å³ per cell

[6]
The following is a PBE-GGA calculation of TaMo2Pt after structural relaxation, from the Alexandria database.

The structure in extended XYZ format:
```
4
Lattice="5.082 0.005 0.000 -1.946 4.694 0.000 0.000 0.000 2.730" Properties=species:S:1:pos:R:3 pbc="T T T"
Mo 0.000 0.000 0.000
Mo 1.568 2.350 0.000
Pt 2.541 0.002 1.365
Ta -0.973 2.347 1.365
```

Output
**Excess energy over the best structure of this formula in the dataset**: 0.52 eV/f.u.
**Volume**: 65 Å³ per cell

[7]
The following is a PBE-GGA calculation of TaMoPt after structural relaxation, from the Alexandria database.

The structure in extended XYZ format:
```
12
Lattice="-4.294 -3.206 -1.742 -0.344 -1.593 3.780 -3.975 7.308 2.718" Properties=species:S:1:pos:R:3 pbc="T T T"
Ta -2.635 1.453 0.372
Ta -4.794 4.311 3.622
Ta -6.588 1.568 0.061
Ta -4.772 -2.882 0.592
Mo -4.448 6.705 2.421
Mo -2.632 2.254 2.952
Mo -4.586 3.423 1.025
Mo -2.771 -1.027 1.556
Pt -4.714 -0.302 -0.557
Pt -6.874 2.555 2.692
Pt -6.656 5.201 1.585
Pt -4.841 0.750 2.117
```

Output
**Excess energy over the best structure of this formula in the dataset**: 0.17 eV/f.u.
**Volume**: 198 Å³ per cell

[8]
The following is a PBE-GGA calculation of Ta6MoPt after structural relaxation, from the Alexandria database.

The structure in extended XYZ format:
```
8
Lattice="-2.295 2.295 6.648 2.295 -2.295 6.648 2.295 2.295 -6.648" Properties=species:S:1:pos:R:3 pbc="T T T"
Ta 0.000 0.000 3.350
Ta 0.000 2.295 5.011
Ta 2.295 0.000 5.011
Ta 2.295 0.000 1.637
Ta 0.000 0.000 9.945
Ta 0.000 2.295 1.637
Mo 0.000 0.000 6.648
Pt 0.000 0.000 0.000
```

Output
**Volume**: 140 Å³ per cell
**VASP energy**: -89.96 eV/f.u.

> Which of these has the highest volume?

TaMoPt

> Which value of volume does entry 8 give?

140 Å³ per cell

> What is the volume in the fourth record?

65 Å³ per cell